Material: V6CrGa
Method: DFT, PBE
State: optimized geometry

Cell and atoms, written as POSCAR:
```
V6CrGa
1.0
4.179 0.000 0.000
0.000 2.996 4.235
0.000 -2.996 4.235
V Cr Ga
6 1 1
Direct
0.000 0.000 0.000
0.000 0.512 0.977
0.000 0.977 0.512
0.500 0.250 0.739
0.500 0.739 0.250
0.500 0.745 0.745
0.000 0.488 0.488
0.500 0.242 0.242
```

Values from the calculation:
- Space-group type: Amm2 (38)
- DOS(E_F): 1.399 states/eV per atom
- ΔH_f (0 K): -0.64 eV/f.u.
- V: 13.25 A^3/atom

=====

Material: CrAsI2N
Method: DFT, PBE
State: optimized geometry

Cell and atoms, written as POSCAR:
```
CrAsI2N
1.0
5.865 0.000 0.000
0.000 5.865 0.000
0.000 0.000 3.658
Cr As I N
1 1 2 1
Direct
0.000 0.000 0.000
0.500 0.500 0.500
0.000 0.500 0.500
0.500 0.000 0.500
0.500 0.500 0.000
```

Values from the calculation:
- Space-group type: P4/mmm (123)
- Formation energy without anion corrections: 1394 meV/atom
- DOS(E_F): 1.334 states/eV per atom
- V: 25.17 A^3/atom

=====

Material: KTl2In
Method: DFT, PBE
State: optimized geometry

Cell and atoms, written as POSCAR:
```
KTl2In
1.0
-2.523 2.523 11.407
2.523 -2.523 11.407
2.523 2.523 -11.407
K Tl In
2 4 2
Direct
0.000 0.000 0.000
0.750 0.250 0.500
0.167 0.625 0.042
0.375 0.417 0.542
0.583 0.125 0.958
0.875 0.833 0.458
0.250 0.750 0.500
0.500 0.500 0.000
```

Values from the calculation:
- Space-group type: I-42d (122)
- DOS(E_F): 0.539 states/eV per atom
- ΔH_f (0 K): 0.40 eV/f.u.
- V: 36.30 A^3/atom

=====

Material: BaCo3N
Method: DFT, PBE
State: optimized geometry

Cell and atoms, written as POSCAR:
```
BaCo3N
1.0
4.146 0.000 0.000
0.000 4.146 0.000
0.000 0.000 4.146
Ba Co N
1 3 1
Direct
0.000 0.000 0.000
0.000 0.500 0.500
0.500 0.000 0.500
0.500 0.500 0.000
0.500 0.500 0.500
```

Values from the calculation:
- Space-group type: Pm-3m (221)
- Formation energy without anion corrections: 543 meV/atom
- DOS(E_F): 0.629 states/eV per atom
- V: 14.25 A^3/atom

=====

Material: ZrZnBr2
Method: DFT, PBE
State: optimized geometry

Cell and atoms, written as POSCAR:
```
ZrZnBr2
1.0
-4.854 4.854 2.863
4.854 -4.854 2.863
4.854 4.854 -2.863
Zr Zn Br
2 2 4
Direct
0.000 0.000 0.000
0.750 0.250 0.500
0.250 0.750 0.500
0.500 0.500 0.000
0.375 0.222 0.347
0.778 0.125 0.153
0.875 0.028 0.653
0.972 0.625 0.847
```

Values from the calculation:
- Space-group type: I-42d (122)
- Formation energy without anion corrections: -391 meV/atom
- DOS(E_F): 0.939 states/eV per atom
- V: 33.73 A^3/atom

=====

Material: Ca2DySnSe4
Method: DFT, PBE
State: optimized geometry

Cell and atoms, written as POSCAR:
```
Ca2DySnSe4
1.0
7.254 0.000 0.000
0.000 4.187 0.000
-2.435 0.000 6.919
Ca Dy Sn Se
2 1 1 4
Direct
0.000 0.000 0.000
0.000 0.500 0.500
0.500 0.000 0.500
0.500 0.500 0.000
0.250 0.000 0.742
0.254 0.500 0.257
0.746 0.500 0.743
0.750 0.000 0.258
```

Values from the calculation:
- Space-group type: P2/m (10)
- Formation energy without anion corrections: -1496 meV/atom
- DOS(E_F): 0.388 states/eV per atom
- V: 26.27 A^3/atom

=====

Total DFT energy (no corrections) for the records above, in order: -8.500; -3.746; -2.043; -5.770; -3.683; -4.814 eV/atom